Pr3Cu, PBEsol geometry, DFT SCAN; final energy = -144.58 eV/cell; formation enthalpy at 0 K = 0.15 eV/atom; magnetic moment = 0.0 μB/f.u.
1.0
-2.849 0.265 3.661
1.026 -4.393 1.115
4.677 3.658 0.426
Pr Cu
3 1
direct
0.250 0.750 0.500 Pr
0.750 0.250 0.500 Pr
0.500 0.500 0.000 Pr
0.000 0.000 0.000 Cu